Model w:
## NdEr4Tm3 (PBE)

Data for a relaxed structure of NdEr4Tm3.

POSCAR file:
```
NdEr4Tm3
1.0
3.529 0.000 0.000
0.000 7.026 0.000
0.000 0.000 9.939
Nd Er Tm
1 4 3
direct
0.000 0.000 0.000 Nd
0.500 0.252 0.253 Er
0.500 0.252 0.747 Er
0.500 0.748 0.253 Er
0.500 0.748 0.747 Er
0.000 0.000 0.500 Tm
0.000 0.500 0.000 Tm
0.000 0.500 0.500 Tm
```

SG: Pmmm
ρ, g/cm³: 8.90
DOS(E_F), states/eV/f.u.: 11.5
M_tot, μB/f.u.: 0.00

---

Model x:
## NdEr4Tm3 (PBE)

Data for a relaxed structure of NdEr4Tm3.

POSCAR file:
```
NdEr4Tm3
1.0
11.154 0.000 0.000
0.000 7.205 0.000
0.000 0.000 6.218
Nd Er Tm
2 8 6
direct
0.000 0.126 0.000 Nd
0.500 0.874 0.500 Nd
0.000 0.376 0.501 Er
0.000 0.624 0.999 Er
0.248 0.624 0.334 Er
0.252 0.376 0.834 Er
0.500 0.376 0.499 Er
0.500 0.624 0.001 Er
0.748 0.376 0.834 Er
0.752 0.624 0.334 Er
0.000 0.874 0.500 Tm
0.250 0.126 0.334 Tm
0.250 0.874 0.834 Tm
0.500 0.126 0.000 Tm
0.750 0.126 0.334 Tm
0.750 0.874 0.834 Tm
```

SG: Pmn2_1
ρ, g/cm³: 8.77
DOS(E_F), states/eV/f.u.: 12.4
M_tot, μB/f.u.: 0.02

---

Least stable of them? model w.

---

Model w:
## Nd7Er12Tm (PBE)

Data for a relaxed structure of Nd7Er12Tm.

POSCAR file:
```
Nd7Er12Tm
1.0
-5.626 5.626 5.626
5.626 -5.626 5.626
5.626 5.626 -5.626
Nd Er Tm
7 12 1
direct
0.000 0.000 0.500 Nd
0.000 0.500 0.000 Nd
0.000 0.500 0.500 Nd
0.500 0.000 0.000 Nd
0.500 0.000 0.500 Nd
0.500 0.500 0.000 Nd
0.500 0.500 0.500 Nd
0.001 0.245 0.756 Er
0.244 0.489 0.245 Er
0.244 0.999 0.755 Er
0.245 0.244 0.489 Er
0.245 0.756 0.001 Er
0.489 0.245 0.244 Er
0.511 0.755 0.756 Er
0.755 0.244 0.999 Er
0.755 0.756 0.511 Er
0.756 0.001 0.245 Er
0.756 0.511 0.755 Er
0.999 0.755 0.244 Er
0.000 0.000 0.000 Tm
```

SG: Im-3
ρ, g/cm³: 7.42
DOS(E_F), states/eV/f.u.: 27.9
M_tot, μB/f.u.: 0.00

---

Model x:
## Nd7Er12Tm (PBE)

Data for a relaxed structure of Nd7Er12Tm.

POSCAR file:
```
Nd7Er12Tm
1.0
5.962 3.442 5.407
-5.962 3.442 5.407
0.000 -6.884 5.407
Nd Er Tm
7 12 1
direct
0.000 0.000 0.000 Nd
0.101 0.419 0.344 Nd
0.344 0.101 0.419 Nd
0.419 0.344 0.101 Nd
0.581 0.656 0.899 Nd
0.656 0.899 0.581 Nd
0.899 0.581 0.656 Nd
0.003 0.884 0.364 Er
0.116 0.636 0.997 Er
0.228 0.356 0.751 Er
0.249 0.772 0.644 Er
0.356 0.751 0.228 Er
0.364 0.003 0.884 Er
0.636 0.997 0.116 Er
0.644 0.249 0.772 Er
0.751 0.228 0.356 Er
0.772 0.644 0.249 Er
0.884 0.364 0.003 Er
0.997 0.116 0.636 Er
0.500 0.500 0.500 Tm
```

SG: R-3
ρ, g/cm³: 7.95
DOS(E_F), states/eV/f.u.: 35.6
M_tot, μB/f.u.: 0.00

---

Least stable of them? model w.

---

Model w:
## Nd12Er5Tm2 (PBE)

Data for a relaxed structure of Nd12Er5Tm2.

POSCAR file:
```
Nd12Er5Tm2
1.0
8.966 -5.862 0.000
8.966 5.862 0.000
-1.330 0.000 6.077
Nd Er Tm
12 5 2
direct
0.046 0.562 0.802 Nd
0.057 0.057 0.274 Nd
0.149 0.644 0.383 Nd
0.356 0.851 0.617 Nd
0.382 0.382 0.994 Nd
0.438 0.954 0.198 Nd
0.562 0.046 0.802 Nd
0.618 0.618 0.006 Nd
0.644 0.149 0.383 Nd
0.851 0.356 0.617 Nd
0.943 0.943 0.726 Nd
0.954 0.438 0.198 Nd
0.178 0.178 0.860 Er
0.283 0.283 0.443 Er
0.500 0.500 0.500 Er
0.717 0.717 0.557 Er
0.822 0.822 0.140 Er
0.267 0.733 0.000 Tm
0.733 0.267 0.000 Tm
```

SG: C2/m
ρ, g/cm³: 7.55
DOS(E_F), states/eV/f.u.: 26.9
M_tot, μB/f.u.: 0.00

---

Model x:
## Nd12Er5Tm2 (PBE)

Data for a relaxed structure of Nd12Er5Tm2.

POSCAR file:
```
Nd12Er5Tm2
1.0
7.567 -5.300 0.000
7.567 5.300 0.000
-0.578 0.000 8.073
Nd Er Tm
12 5 2
direct
0.055 0.055 0.213 Nd
0.092 0.540 0.709 Nd
0.121 0.666 0.116 Nd
0.334 0.879 0.884 Nd
0.371 0.371 0.395 Nd
0.460 0.908 0.291 Nd
0.540 0.092 0.709 Nd
0.629 0.629 0.605 Nd
0.666 0.121 0.116 Nd
0.879 0.334 0.884 Nd
0.908 0.460 0.291 Nd
0.945 0.945 0.787 Nd
0.157 0.157 0.597 Er
0.259 0.259 0.013 Er
0.500 0.500 0.000 Er
0.741 0.741 0.987 Er
0.843 0.843 0.403 Er
0.228 0.772 0.500 Tm
0.772 0.228 0.500 Tm
```

SG: C2/m
ρ, g/cm³: 7.45
DOS(E_F), states/eV/f.u.: 27.3
M_tot, μB/f.u.: 0.00

---

Least stable of them? model x.

---

Model w:
## Nd4Er6Tm (PBE)

Data for a relaxed structure of Nd4Er6Tm.

POSCAR file:
```
Nd4Er6Tm
1.0
10.985 0.000 0.000
-5.493 9.513 0.000
0.000 0.000 3.550
Nd Er Tm
4 6 1
direct
0.000 0.000 0.000 Nd
0.501 0.002 0.500 Nd
0.501 0.499 0.500 Nd
0.998 0.499 0.500 Nd
0.174 0.349 0.000 Er
0.174 0.826 0.000 Er
0.309 0.154 0.500 Er
0.651 0.826 0.000 Er
0.846 0.154 0.500 Er
0.846 0.691 0.500 Er
0.667 0.333 0.000 Tm
```

SG: P-6m2
ρ, g/cm³: 7.83
DOS(E_F), states/eV/f.u.: 16.4
M_tot, μB/f.u.: 0.00

---

Model x:
## Nd4Er6Tm (PBE)

Data for a relaxed structure of Nd4Er6Tm.

POSCAR file:
```
Nd4Er6Tm
1.0
-3.312 3.312 8.488
3.312 -3.312 8.488
3.312 3.312 -8.488
Nd Er Tm
4 6 1
direct
0.014 0.635 0.000 Nd
0.365 0.365 0.379 Nd
0.635 0.014 0.000 Nd
0.986 0.986 0.621 Nd
0.000 0.500 0.500 Er
0.197 0.197 0.644 Er
0.446 0.803 0.000 Er
0.500 0.000 0.500 Er
0.554 0.554 0.356 Er
0.803 0.446 0.000 Er
0.000 0.000 0.000 Tm
```

SG: I-42m
ρ, g/cm³: 7.80
DOS(E_F), states/eV/f.u.: 13.6
M_tot, μB/f.u.: 0.00

---

Least stable of them? model x.

---

Model w:
## Nd6Er3Tm (PBE)

Data for a relaxed structure of Nd6Er3Tm.

POSCAR file:
```
Nd6Er3Tm
1.0
5.491 0.000 0.000
0.000 10.293 0.000
-2.270 0.000 12.263
Nd Er Tm
12 6 2
direct
0.008 0.185 0.007 Nd
0.008 0.315 0.507 Nd
0.104 0.006 0.770 Nd
0.104 0.494 0.270 Nd
0.423 0.171 0.355 Nd
0.423 0.329 0.855 Nd
0.577 0.671 0.145 Nd
0.577 0.829 0.645 Nd
0.896 0.506 0.730 Nd
0.896 0.994 0.230 Nd
0.992 0.685 0.493 Nd
0.992 0.815 0.993 Nd
0.425 0.667 0.866 Er
0.425 0.833 0.366 Er
0.500 0.000 0.000 Er
0.500 0.500 0.500 Er
0.575 0.167 0.634 Er
0.575 0.333 0.134 Er
0.000 0.000 0.500 Tm
0.000 0.500 0.000 Tm
```

SG: P2_1/c
ρ, g/cm³: 7.36
DOS(E_F), states/eV/f.u.: 14.8
M_tot, μB/f.u.: 0.00

---

Model x:
## Nd6Er3Tm (PBE)

Data for a relaxed structure of Nd6Er3Tm.

POSCAR file:
```
Nd6Er3Tm
1.0
5.481 -9.676 0.000
5.481 9.676 0.000
0.000 0.000 6.346
Nd Er Tm
12 6 2
direct
0.036 0.964 0.500 Nd
0.060 0.485 0.049 Nd
0.280 0.720 0.743 Nd
0.286 0.374 0.853 Nd
0.374 0.286 0.353 Nd
0.485 0.060 0.549 Nd
0.515 0.940 0.049 Nd
0.626 0.714 0.853 Nd
0.714 0.626 0.353 Nd
0.720 0.280 0.243 Nd
0.940 0.515 0.549 Nd
0.964 0.036 0.000 Nd
0.053 0.279 0.426 Er
0.279 0.053 0.926 Er
0.387 0.613 0.319 Er
0.613 0.387 0.819 Er
0.721 0.947 0.426 Er
0.947 0.721 0.926 Er
0.195 0.805 0.288 Tm
0.805 0.195 0.788 Tm
```

SG: Cmc2_1
ρ, g/cm³: 7.58
DOS(E_F), states/eV/f.u.: 13.8
M_tot, μB/f.u.: 0.00

---

Least stable of them? model w.

---

Model w:
## NdYErTm (PBE)

Data for a relaxed structure of NdYErTm.

POSCAR file:
```
NdYErTm
1.0
5.053 0.000 0.000
0.000 5.053 0.000
0.000 0.000 10.016
Nd Y Er Tm
2 2 2 2
direct
0.000 0.000 0.000 Nd
0.500 0.500 0.500 Nd
0.000 0.500 0.250 Y
0.500 0.000 0.750 Y
0.000 0.000 0.500 Er
0.500 0.500 0.000 Er
0.000 0.500 0.750 Tm
0.500 0.000 0.250 Tm
```

SG: I-4m2
ρ, g/cm³: 7.39
DOS(E_F), states/eV/f.u.: 6.1
M_tot, μB/f.u.: 0.00

---

Model x:
## NdYErTm (PBE)

Data for a relaxed structure of NdYErTm.

POSCAR file:
```
NdYErTm
1.0
8.035 0.000 0.000
0.000 8.035 0.000
0.000 0.000 8.035
Nd Y Er Tm
4 4 4 4
direct
0.000 0.000 0.000 Nd
0.000 0.500 0.500 Nd
0.500 0.000 0.500 Nd
0.500 0.500 0.000 Nd
0.000 0.000 0.500 Y
0.000 0.500 0.000 Y
0.500 0.000 0.000 Y
0.500 0.500 0.500 Y
0.250 0.250 0.750 Er
0.250 0.750 0.250 Er
0.750 0.250 0.250 Er
0.750 0.750 0.750 Er
0.250 0.250 0.250 Tm
0.250 0.750 0.750 Tm
0.750 0.250 0.750 Tm
0.750 0.750 0.250 Tm
```

SG: F-43m
ρ, g/cm³: 7.29
DOS(E_F), states/eV/f.u.: 7.0
M_tot, μB/f.u.: 0.00

---

Least stable of them? model x.

---

Model w:
## NdErTmZn (PBE)

Data for a relaxed structure of NdErTmZn.

POSCAR file:
```
NdErTmZn
1.0
3.551 0.000 0.000
0.000 3.551 0.000
0.000 0.000 8.718
Nd Er Tm Zn
1 1 1 1
direct
0.000 0.000 0.000 Nd
0.500 0.500 0.700 Er
0.500 0.500 0.299 Tm
0.000 0.000 0.498 Zn
```

SG: P4mm
ρ, g/cm³: 8.25
DOS(E_F), states/eV/f.u.: 4.4
M_tot, μB/f.u.: 0.00

---

Model x:
## NdErTmZn (PBE)

Data for a relaxed structure of NdErTmZn.

POSCAR file:
```
NdErTmZn
1.0
7.571 0.000 0.000
0.000 7.571 0.000
0.000 0.000 7.571
Nd Er Tm Zn
4 4 4 4
direct
0.000 0.000 0.000 Nd
0.000 0.500 0.500 Nd
0.500 0.000 0.500 Nd
0.500 0.500 0.000 Nd
0.000 0.000 0.500 Er
0.000 0.500 0.000 Er
0.500 0.000 0.000 Er
0.500 0.500 0.500 Er
0.250 0.250 0.750 Tm
0.250 0.750 0.250 Tm
0.750 0.250 0.250 Tm
0.750 0.750 0.750 Tm
0.250 0.250 0.250 Zn
0.250 0.750 0.750 Zn
0.750 0.250 0.750 Zn
0.750 0.750 0.250 Zn
```

SG: F-43m
ρ, g/cm³: 8.35
DOS(E_F), states/eV/f.u.: 4.7
M_tot, μB/f.u.: 0.00

---

Least stable of them? model x.

---

Model w:
## NdY4Er3 (PBE)

Data for a relaxed structure of NdY4Er3.

POSCAR file:
```
NdY4Er3
1.0
3.566 0.000 0.000
0.000 7.111 0.000
0.000 0.000 10.060
Nd Y Er
1 4 3
direct
0.000 0.000 0.000 Nd
0.500 0.252 0.252 Y
0.500 0.252 0.748 Y
0.500 0.748 0.252 Y
0.500 0.748 0.748 Y
0.000 0.000 0.500 Er
0.000 0.500 0.000 Er
0.000 0.500 0.500 Er
```

SG: Pmmm
ρ, g/cm³: 6.52
DOS(E_F), states/eV/f.u.: 12.1
M_tot, μB/f.u.: 0.00

---

Model x:
## NdY4Er3 (PBE)

Data for a relaxed structure of NdY4Er3.

POSCAR file:
```
NdY4Er3
1.0
11.292 0.000 0.000
0.000 7.289 0.000
0.000 0.000 6.292
Nd Y Er
2 8 6
direct
0.000 0.124 0.000 Nd
0.500 0.876 0.500 Nd
0.000 0.374 0.498 Y
0.000 0.626 0.995 Y
0.248 0.626 0.333 Y
0.252 0.374 0.833 Y
0.500 0.374 0.495 Y
0.500 0.626 0.998 Y
0.748 0.374 0.833 Y
0.752 0.626 0.333 Y
0.000 0.876 0.499 Er
0.250 0.124 0.330 Er
0.250 0.876 0.830 Er
0.500 0.124 0.999 Er
0.750 0.124 0.330 Er
0.750 0.876 0.830 Er
```

SG: Pmn2_1
ρ, g/cm³: 6.42
DOS(E_F), states/eV/f.u.: 13.7
M_tot, μB/f.u.: 0.00

---

Least stable of them? model w.